Material: Sr18Ca3Cr14O56
Method: DFT, GGA+U
State: optimized geometry

Summary:
* final energy: -623.36 eV for the cell shown
* total magnetization: 14.06 μB per formula unit
* symmetry: R3 (146)
* density of states at the Fermi level: 0.05 states/eV/atom
* crystal system: trigonal

Lattice parameters (Å, degrees): 11.2237 11.2237 14.9244 90.00 67.91 120.00
Fractional coordinates of all 91 atoms:
Sr 0.7587 0.0885 0.5995
Sr 0.2070 0.8072 0.9930
Sr 0.9728 0.2874 0.3136
Sr 0.7512 0.1696 0.1078
Sr 0.3990 0.6853 0.3136
Sr 0.7226 0.5816 0.1078
Sr 0.1883 0.3003 0.4968
Sr 0.1997 0.3998 0.9930
Sr 0.6152 0.3149 0.4968
Sr 0.3121 0.6703 0.5995
Sr 0.6071 0.7999 0.9930
Sr 0.0011 0.7137 0.3136
Sr 0.9735 0.1872 0.8152
Sr 0.9976 0.7864 0.8152
Sr 0.7302 0.6418 0.5995
Sr 0.3984 0.2113 0.8152
Sr 0.2029 0.8880 0.4968
Sr 0.3106 0.1410 0.1078
O 0.4662 0.1091 0.9393
O 0.9919 0.3922 0.1414
O 0.9716 0.8355 0.4584
O 0.7309 0.0961 0.2753
O 0.4557 0.3511 0.1728
O 0.0399 0.5608 0.7775
O 0.2051 0.3198 0.1563
O 0.9577 0.0956 0.4369
O 0.4619 0.3621 0.6502
O 0.4907 0.6044 0.8992
O 0.9772 0.1306 0.0333
O 0.4964 0.8863 0.8992
O 0.4124 0.3385 0.9570
O 0.4664 0.5997 0.1414
O 0.9877 0.0998 0.6502
O 0.8360 0.8465 0.0333
O 0.7433 0.1826 0.7775
O 0.2439 0.3350 0.8251
O 0.0899 0.9938 0.2753
O 0.9691 0.6306 0.9570
O 0.0844 0.0422 0.8734
O 0.9675 0.3406 0.5560
O 0.4761 0.1046 0.1728
O 0.6618 0.4792 0.7775
O 0.4717 0.8702 0.6738
O 0.5186 0.1363 0.6635
O 0.1201 0.9895 0.0333
O 0.6286 0.6348 0.2753
O 0.8400 0.9090 0.8251
O 0.7247 0.8545 0.6738
O 0.8171 0.4765 0.5560
O 0.5239 0.8853 0.1563
O 0.0919 0.5459 0.3622
O 0.1035 0.6270 0.5560
O 0.2137 0.1030 0.4149
O 0.4675 0.8621 0.4369
O 0.9542 0.8179 0.6635
O 0.9517 0.3571 0.9393
O 0.4744 0.3714 0.4149
O 0.4821 0.1107 0.4149
O 0.4560 0.6015 0.6738
O 0.7010 0.6054 0.4369
O 0.2660 0.9310 0.8251
O 0.2589 0.8667 0.1414
O 0.7036 0.5946 0.9393
O 0.4055 0.5700 0.4584
O 0.2501 0.8880 0.6502
O 0.8388 0.4323 0.3199
O 0.2735 0.8412 0.3199
O 0.7061 0.1361 0.4584
O 0.2145 0.6101 0.8992
O 0.2478 0.4065 0.3199
O 0.2002 0.3823 0.6635
O 0.7226 0.3715 0.1728
O 0.7046 0.0740 0.9570
O 0.9585 0.6386 0.1563
Cr 0.3407 0.4190 0.7000
Cr 0.3783 0.9593 0.7000
Cr 0.0020 0.0010 0.9970
Cr 0.3826 0.9216 0.1960
Cr 0.6019 0.0685 0.8933
Cr 0.5629 0.5554 0.3954
Cr 0.0382 0.5335 0.8933
Cr 0.0492 0.0075 0.3954
Cr 0.5970 0.0417 0.3954
Cr 0.8810 0.9217 0.7000
Cr 0.8824 0.4610 0.1960
Cr 0.5733 0.5048 0.8933
Cr 0.3431 0.4214 0.1960
Cr 0.0054 0.5027 0.4918
Ca 0.4672 0.2336 0.2993
Ca 0.8659 0.4330 0.7011
Ca 0.4731 0.7365 0.7904